Record 1
# TlCd2Ir

A PBEsol-optimized structure of TlCd2Ir (meta-GGA SCAN, Alexandria).

Unit cell a=5.344 b=5.344 c=5.344 alpha=135.62 beta=135.18 gamma=64.91
Fractional coordinates of all 4 atoms:
Tl1 0.000 0.000 0.000
Cd1 0.251 0.751 0.500
Cd2 0.749 0.249 0.500
Ir1 0.500 0.500 0.000

Output
- formation energy from the elements (eV/f.u.) = 1.0
- offset from the most stable computed form (eV/atom) = 0.000

***

Record 2
# Tl2CdIr

A PBEsol-optimized structure of Tl2CdIr (meta-GGA SCAN, Alexandria).

Unit cell a=3.142 b=3.142 c=8.745 alpha=90.00 beta=90.00 gamma=90.00
Fractional coordinates of all 4 atoms:
Tl1 0.000 0.000 0.000
Tl2 0.500 0.500 0.314
Cd1 0.000 0.000 0.601
Ir1 0.500 0.500 0.794

Output
- formation energy from the elements (eV/f.u.) = 1.2
- offset from the most stable computed form (eV/atom) = 0.000

***

Record 3
# TlCd2Ir

A PBEsol-optimized structure of TlCd2Ir (meta-GGA SCAN, Alexandria).

Unit cell a=3.113 b=4.666 c=5.221 alpha=90.00 beta=90.07 gamma=90.00
Fractional coordinates of all 4 atoms:
Tl1 0.000 0.000 0.000
Cd1 0.499 0.000 0.528
Cd2 0.500 0.500 0.202
Ir1 0.000 0.500 0.681

Output
- formation energy from the elements (eV/f.u.) = 1.2
- offset from the most stable computed form (eV/atom) = 0.054

***

Record 4
# CdIrW

A PBEsol-optimized structure of CdIrW (meta-GGA SCAN, Alexandria).

Unit cell a=5.032 b=5.032 c=5.032 alpha=147.43 beta=134.84 gamma=56.78
Fractional coordinates of all 3 atoms:
Cd1 0.000 0.000 0.000
Ir1 0.681 0.681 0.000
W1 0.316 0.316 0.000

Output
- formation energy from the elements (eV/f.u.) = 0.8
- offset from the most stable computed form (eV/atom) = 0.000

***

Record 5
# CdIrW2

A PBEsol-optimized structure of CdIrW2 (meta-GGA SCAN, Alexandria).

Unit cell a=5.013 b=5.013 c=2.752 alpha=90.00 beta=90.00 gamma=114.60
Fractional coordinates of all 4 atoms:
Cd1 0.000 0.000 0.000
Ir1 0.500 0.500 0.000
W1 0.000 0.500 0.500
W2 0.500 0.000 0.500

Output
- formation energy from the elements (eV/f.u.) = 1.5

***

Record 6
# CdIrW

A PBEsol-optimized structure of CdIrW (meta-GGA SCAN, Alexandria).

Unit cell a=4.293 b=4.293 c=4.293 alpha=60.00 beta=60.00 gamma=60.00
Fractional coordinates of all 3 atoms:
Cd1 0.000 0.000 0.000
Ir1 0.250 0.250 0.250
W1 0.500 0.500 0.500

Output
- formation energy from the elements (eV/f.u.) = 1.3
- offset from the most stable computed form (eV/atom) = 0.158

***

Record 7
# CdIrW2

A PBEsol-optimized structure of CdIrW2 (meta-GGA SCAN, Alexandria).

Unit cell a=5.276 b=5.276 c=5.276 alpha=144.30 beta=131.58 gamma=61.60
Fractional coordinates of all 4 atoms:
Cd1 0.000 0.000 0.000
Ir1 0.500 0.500 0.000
W1 0.257 0.757 0.500
W2 0.743 0.243 0.500

Output
- formation energy from the elements (eV/f.u.) = 1.5

***

Record 8
# CdIrW2

A PBEsol-optimized structure of CdIrW2 (meta-GGA SCAN, Alexandria).

Unit cell a=2.784 b=2.784 c=8.308 alpha=90.00 beta=90.00 gamma=90.00
Fractional coordinates of all 4 atoms:
Cd1 0.000 0.000 0.000
Ir1 0.500 0.500 0.258
W1 0.000 0.000 0.468
W2 0.500 0.500 0.727

Output
- formation energy from the elements (eV/f.u.) = 0.6

***

Record 9
# YCd2Ir

A PBEsol-optimized structure of YCd2Ir (meta-GGA SCAN, Alexandria).

Unit cell a=6.009 b=6.009 c=3.186 alpha=104.68 beta=104.68 gamma=123.89
Fractional coordinates of all 4 atoms:
Y1 0.000 0.000 0.000
Cd1 0.000 0.500 0.500
Cd2 0.500 0.000 0.500
Ir1 0.500 0.500 0.000

Output
- formation energy from the elements (eV/f.u.) = -0.5

***

Record 10
# YCd2Ir

A PBEsol-optimized structure of YCd2Ir (meta-GGA SCAN, Alexandria).

Unit cell a=5.324 b=5.324 c=5.324 alpha=133.85 beta=133.85 gamma=67.33
Fractional coordinates of all 4 atoms:
Y1 0.000 0.000 0.000
Cd1 0.250 0.750 0.500
Cd2 0.750 0.250 0.500
Ir1 0.500 0.500 0.000

Output
- formation energy from the elements (eV/f.u.) = -1.6

***

Record 11
# Y4CdIr

A PBEsol-optimized structure of Y4CdIr (meta-GGA SCAN, Alexandria).

Unit cell a=9.501 b=9.501 c=9.501 alpha=60.00 beta=60.00 gamma=60.00
Fractional coordinates of all 24 atoms:
Y1 0.189 0.189 0.811
Y2 0.189 0.811 0.189
Y3 0.189 0.811 0.811
Y4 0.400 0.400 0.400
Y5 0.400 0.400 0.799
Y6 0.400 0.799 0.400
Y7 0.559 0.559 0.941
Y8 0.559 0.941 0.559
Y9 0.559 0.941 0.941
Y10 0.799 0.400 0.400
Y11 0.811 0.189 0.189
Y12 0.811 0.189 0.811
Y13 0.811 0.811 0.189
Y14 0.941 0.559 0.559
Y15 0.941 0.559 0.941
Y16 0.941 0.941 0.559
Cd1 0.170 0.170 0.170
Cd2 0.170 0.170 0.491
Cd3 0.170 0.491 0.170
Cd4 0.491 0.170 0.170
Ir1 0.175 0.608 0.608
Ir2 0.608 0.175 0.608
Ir3 0.608 0.608 0.175
Ir4 0.608 0.608 0.608

Output
- formation energy from the elements (eV/f.u.) = -3.9

***

Record 12
# Y2CdIr

A PBEsol-optimized structure of Y2CdIr (meta-GGA SCAN, Alexandria).

Unit cell a=4.923 b=4.923 c=3.570 alpha=90.00 beta=90.00 gamma=90.00
Fractional coordinates of all 4 atoms:
Y1 0.000 0.500 0.000
Y2 0.500 0.000 0.000
Cd1 0.000 0.000 0.500
Ir1 0.500 0.500 0.500

Output
- formation energy from the elements (eV/f.u.) = -2.7

***

Record 13
# Y2CdIr2

A PBEsol-optimized structure of Y2CdIr2 (meta-GGA SCAN, Alexandria).

Unit cell a=8.226 b=8.226 c=8.226 alpha=153.15 beta=153.15 gamma=38.34
Fractional coordinates of all 5 atoms:
Y1 0.119 0.119 0.000
Y2 0.881 0.881 0.000
Cd1 0.500 0.500 0.000
Ir1 0.250 0.750 0.500
Ir2 0.750 0.250 0.500

Output
- formation energy from the elements (eV/f.u.) = -2.0

***

Record 14
# ZnCdIr2

A PBEsol-optimized structure of ZnCdIr2 (meta-GGA SCAN, Alexandria).

Unit cell a=5.303 b=5.303 c=2.751 alpha=104.10 beta=104.10 gamma=117.74
Fractional coordinates of all 4 atoms:
Zn1 0.000 0.000 0.000
Cd1 0.500 0.500 0.000
Ir1 0.000 0.500 0.500
Ir2 0.500 0.000 0.500

Output
- formation energy from the elements (eV/f.u.) = 0.6

***

Record 15
# ZnCdIr2

A PBEsol-optimized structure of ZnCdIr2 (meta-GGA SCAN, Alexandria).

Unit cell a=2.753 b=2.753 c=9.005 alpha=90.00 beta=90.00 gamma=117.97
Fractional coordinates of all 4 atoms:
Zn1 0.000 0.000 0.000
Cd1 0.000 0.000 0.500
Ir1 0.500 0.500 0.233
Ir2 0.500 0.500 0.767

Output
- formation energy from the elements (eV/f.u.) = 0.4

***

Record 16
# ZnCdIr2

A PBEsol-optimized structure of ZnCdIr2 (meta-GGA SCAN, Alexandria).

Unit cell a=4.414 b=4.414 c=4.414 alpha=60.00 beta=60.00 gamma=60.00
Fractional coordinates of all 4 atoms:
Zn1 0.000 0.000 0.000
Cd1 0.750 0.750 0.750
Ir1 0.250 0.250 0.250
Ir2 0.500 0.500 0.500

Output
- formation energy from the elements (eV/f.u.) = 1.1

***

Record 17
# ZnCdIr3

A PBEsol-optimized structure of ZnCdIr3 (meta-GGA SCAN, Alexandria).

Unit cell a=4.482 b=4.482 c=4.482 alpha=90.00 beta=90.00 gamma=90.00
Fractional coordinates of all 5 atoms:
Zn1 0.000 0.000 0.000
Cd1 0.500 0.500 0.500
Ir1 0.000 0.000 0.500
Ir2 0.000 0.500 0.000
Ir3 0.500 0.000 0.000

Output
- formation energy from the elements (eV/f.u.) = 7.2

***

Record 18
# ZrCdIr2

A PBEsol-optimized structure of ZrCdIr2 (meta-GGA SCAN, Alexandria).

Unit cell a=3.166 b=3.469 c=6.096 alpha=90.00 beta=90.00 gamma=90.00
Fractional coordinates of all 4 atoms:
Zr1 0.000 0.000 0.000
Cd1 0.000 0.000 0.500
Ir1 0.500 0.500 0.244
Ir2 0.500 0.500 0.756

Output
- formation energy from the elements (eV/f.u.) = -2.3

***

Record 19
# ZrCd2Ir

A PBEsol-optimized structure of ZrCd2Ir (meta-GGA SCAN, Alexandria).

Unit cell a=9.797 b=9.797 c=9.797 alpha=17.50 beta=17.50 gamma=17.50
Fractional coordinates of all 4 atoms:
Zr1 0.000 0.000 0.000
Cd1 0.512 0.512 0.512
Cd2 0.757 0.757 0.757
Ir1 0.259 0.259 0.259

Output
- formation energy from the elements (eV/f.u.) = -0.2

***

Record 20
# Zr3CdIr

A PBEsol-optimized structure of Zr3CdIr (meta-GGA SCAN, Alexandria).

Unit cell a=5.002 b=5.002 c=5.002 alpha=90.00 beta=90.00 gamma=90.00
Fractional coordinates of all 5 atoms:
Zr1 0.000 0.000 0.500
Zr2 0.000 0.500 0.000
Zr3 0.500 0.000 0.000
Cd1 0.500 0.500 0.500
Ir1 0.000 0.000 0.000

Output
- formation energy from the elements (eV/f.u.) = -0.2